Below is a relaxed structure of La2BiC, with properties calculated at the GGA-PBE level.

```
La2BiC
1.0
1.854 1.071 9.765
-1.854 1.071 9.765
0.000 -2.141 9.765
La Bi C
2 1 1
Direct
0.117 0.117 0.117
0.883 0.883 0.883
0.000 0.000 0.000
0.500 0.500 0.500
```

Output
D(E_F): 2.38 states/eV/f.u.
Mass density: 7.12 g/cm3
Symmetry: R-3m, No. 166
Total magnetic moment: 0.00 μB per formula unit

Below is a relaxed structure of La3BiC, with properties calculated at the GGA-PBE level.

```
La3BiC
1.0
6.289 -2.571 0.000
6.289 2.571 0.000
-2.862 0.000 9.250
La Bi C
6 2 2
Direct
0.092 0.092 0.177
0.137 0.137 0.655
0.350 0.350 0.059
0.650 0.650 0.941
0.863 0.863 0.345
0.908 0.908 0.823
0.414 0.414 0.612
0.586 0.586 0.388
0.114 0.114 0.910
0.886 0.886 0.090
```

Output
D(E_F): 3.49 states/eV/f.u.
Mass density: 7.08 g/cm3
Symmetry: C2/m, No. 12
Total magnetic moment: 0.92 μB per formula unit

| no. | energy of formation (meV per atom) | volume (Å³ per cell) |
| --- | --- | --- |
| 1 | -177 | 116 |
| 2 | -405 | 299 |